Below is a relaxed structure of CsNaMoCl6, with properties calculated at the GGA-PBE level.

Cell: 6.9900 6.9900 7.5083 Å, 90.00 90.00 120.00°
Last column: nearest neighbours and their distance in Å.
Space group P312 (No. 149)
Asymmetric unit:
Cs (0.0000, 0.0000, 0.0000) (multiplicity 1)  6 Cl 3.52
Na (0.3333, 0.6667, 0.5000) (multiplicity 1)  6 Cl 2.83
Mo (0.6667, 0.3333, 0.5000) (multiplicity 1)  6 Cl 2.41
Cl (0.3943, 0.0459, 0.6859) (multiplicity 6)  1 Mo 2.41

Computed properties:
crystal system	trigonal
total magnetization	0.22	μB per atom
formation energy without anion corrections	-1167	kJ/mol of formula units
uncorrected energy	-0.2955	Ry/atom